DFT (GGA+U) results for CdWF2 after structural relaxation.

Unit cell a=7.902 b=7.902 c=7.902 alpha=141.70 beta=141.70 gamma=55.28
Sites, in units of the cell vectors:
Cd  0.000  0.000  0.000
Cd  0.750  0.250  0.500
W  0.250  0.750  0.500
W  0.500  0.500  0.000
F  0.367  0.625  0.242
F  0.375  0.617  0.742
F  0.383  0.125  0.758
F  0.875  0.633  0.258

Properties
For the excess energy over the best structure of this formula in the dataset, the calculation gives 249 meV/atom. As for the density of states at the Fermi level: 0.1 states/eV/cell. As for the spin magnetization: 1.000 μB per atom. As for the volume: 188.2 Å³/cell.